TaMnIn2O6 after structural relaxation. Source: the Alexandria database, functional PBE with a Hubbard U.

## Properties
V	131.6	Å³ per cell
uncorrected energy	-73.341	eV for the cell shown
Fermi-level density of states	2.3	states/eV/cell
space-group type	No. 146

Structure (CIF):
```
data_TaMnIn2O6
_chemical_formula_sum 'Ta1 Mn1 In2 O6'
_cell_length_a 5.879
_cell_length_b 5.879
_cell_length_c 5.879
_cell_angle_alpha 56.38
_cell_angle_beta 56.38
_cell_angle_gamma 56.38
_space_group_name_H-M_alt 'P 1'
_space_group_IT_number 1
_space_group_name_Hall 'P 1'
loop_
_atom_site_label
_atom_site_type_symbol
_atom_site_fract_x
_atom_site_fract_y
_atom_site_fract_z
Ta1 Ta 0.000 0.000 0.000
Mn1 Mn 0.510 0.510 0.510
In1 In 0.290 0.290 0.290
In2 In 0.784 0.784 0.784
O1 O 0.133 0.332 0.729
O2 O 0.197 0.897 0.623
O3 O 0.332 0.729 0.133
O4 O 0.623 0.197 0.897
O5 O 0.729 0.133 0.332
O6 O 0.897 0.623 0.197
```